[1]
Density functional theory data (PBE) for MgB5H after structural relaxation.

Lattice parameters (Å, degrees): 4.3369 7.4630 7.2727 34.62 53.37 54.45
Fractional coordinates of all 14 atoms:
Mg: 0.5951 0.3734 0.7816
Mg: 0.4049 0.6266 0.2184
H: 0.5000 0.0000 0.0000
H: 0.0000 0.0000 0.0000
B: 0.0644 0.5917 0.0937
B: 0.0096 0.2305 0.2731
B: 0.9904 0.7695 0.7269
B: 0.5614 0.0883 0.6000
B: 0.4825 0.2308 0.2732
B: 0.5175 0.7692 0.7268
B: 0.2480 0.2015 0.8000
B: 0.4386 0.9117 0.4000
B: 0.9356 0.4083 0.9063
B: 0.7520 0.7985 0.2000

Computed properties:
**Space group**: No. 11
**E_tot**: -0.3842 Ry/atom



[2]
Density functional theory data (PBE) for MgBH5 after structural relaxation.

Lattice parameters (Å, degrees): 4.4477 4.4477 5.9071 71.28 71.28 73.68
Fractional coordinates of all 14 atoms:
Mg: 0.4399 0.5601 0.7500
Mg: 0.5601 0.4399 0.2500
H: 0.1607 0.2288 0.9001
H: 0.0353 0.9647 0.7500
H: 0.7582 0.3132 0.5222
H: 0.2418 0.6868 0.4778
H: 0.6868 0.2418 0.9778
H: 0.8393 0.7712 0.0999
H: 0.7712 0.8393 0.5999
H: 0.2288 0.1607 0.4001
H: 0.3132 0.7582 0.0222
H: 0.9647 0.0353 0.2500
B: 0.0000 0.0000 0.5000
B: 0.0000 0.0000 0.0000

Computed properties:
**Space group**: No. 15
**E_tot**: -0.2474 Ry/atom



[3]
Density functional theory data (PBE) for Mg2B2H7 after structural relaxation.

Lattice parameters (Å, degrees): 3.8675 5.1225 5.1225 75.22 91.65 91.65
Fractional coordinates of all 11 atoms:
H: 0.1872 0.0647 0.3858
H: 0.5000 0.0000 0.0000
H: 0.3688 0.7574 0.7574
H: 0.8128 0.6142 0.9353
H: 0.1872 0.3858 0.0647
H: 0.6312 0.2426 0.2426
H: 0.8128 0.9353 0.6142
B: 0.6589 0.8187 0.8187
B: 0.3411 0.1813 0.1813
Mg: 0.0000 0.7343 0.2657
Mg: 0.0000 0.2657 0.7343

Computed properties:
**Space group**: No. 12
**E_tot**: -0.2592 Ry/atom



[4]
Density functional theory data (PBE) for MgB2H6 after structural relaxation.

Lattice parameters (Å, degrees): 3.4621 5.5355 14.5186 39.43 39.79 38.14
Fractional coordinates of all 9 atoms:
H: 0.2169 0.0281 0.6782
H: 0.8000 0.4464 0.3288
H: 0.2000 0.5536 0.6712
H: 0.9953 0.8232 0.5006
H: 0.7831 0.9719 0.3218
H: 0.0047 0.1768 0.4994
B: 0.1747 0.1241 0.3959
B: 0.8253 0.8759 0.6041
Mg: 0.0000 0.0000 0.0000

Computed properties:
**Space group**: No. 2
**E_tot**: -0.2809 Ry/atom



[5]
Density functional theory data (PBE) for MgB2H8 after structural relaxation.

Lattice parameters (Å, degrees): 4.2678 5.7157 8.3328 90.00 90.00 90.00
Fractional coordinates of all 22 atoms:
H: 0.0000 0.4108 0.3727
H: 0.2772 0.9724 0.5657
H: 0.2430 0.4695 0.1764
H: 0.0000 0.7344 0.2573
H: 0.5000 0.0385 0.3569
H: 0.7228 0.0276 0.0657
H: 0.5000 0.9615 0.8569
H: 0.7570 0.5305 0.6764
H: 0.7228 0.9724 0.5657
H: 0.0000 0.2656 0.7573
H: 0.7570 0.4695 0.1764
H: 0.2430 0.5305 0.6764
H: 0.0000 0.5892 0.8727
H: 0.5000 0.7123 0.4439
H: 0.5000 0.2877 0.9439
H: 0.2772 0.0276 0.0657
B: 0.5000 0.9234 0.4780
B: 0.5000 0.0766 0.9780
B: 0.0000 0.4792 0.7456
B: 0.0000 0.5208 0.2456
Mg: 0.0000 0.7088 0.5024
Mg: 0.0000 0.2912 0.0024

Computed properties:
**Space group**: No. 26
**E_tot**: -0.2958 Ry/atom



[6]
Density functional theory data (PBE) for MgBH2 after structural relaxation.

Lattice parameters (Å, degrees): 3.5066 3.5066 3.5066 60.00 60.00 60.00
Fractional coordinates of all 4 atoms:
Mg: 0.5000 0.5000 0.5000
H: 0.7500 0.7500 0.7500
H: 0.2500 0.2500 0.2500
B: 0.0000 0.0000 0.0000

Computed properties:
**Space group**: No. 225
**E_tot**: -0.2097 Ry/atom